1.
Compound: Th2MnGe4Pd3
Source: the Alexandria database
Functional: PBE-GGA
Structure: optimized geometry

Results
Its calculated total energy is -6.512 eV/atom. The value obtained for the formation energy is -0.707 eV/atom.

a b c (Å): 4.2947 4.2947 10.3957
angles (deg): 90.00 90.00 90.00
Last column: nearest neighbours and their distance in Å.
Fractional coordinates of all 10 atoms:
Th  0.5000  0.0000  0.2504  8 Ge 3.27-3.37, 6 Pd 3.29-3.37, 2 Mn 3.37
Th  0.0000  0.5000  0.7496  8 Ge 3.27-3.37, 6 Pd 3.29-3.37, 2 Mn 3.37
Mn  0.5000  0.5000  0.5000  4 Ge 2.55
Ge  0.5000  0.5000  0.0000  4 Pd 2.53
Ge  0.0000  0.0000  0.0000  4 Pd 2.53
Ge  0.5000  0.0000  0.6329  3 Pd 2.48-2.55, 2 Mn 2.55
Ge  0.0000  0.5000  0.3671  3 Pd 2.48-2.55, 2 Mn 2.55
Pd  0.0000  0.0000  0.5000  4 Ge 2.55
Pd  0.5000  0.0000  0.8711  5 Ge 2.48-2.53
Pd  0.0000  0.5000  0.1289  5 Ge 2.48-2.53

---

2.
Compound: PmPrN2
Source: the Alexandria database
Functional: PBE-GGA
Structure: optimized geometry

Results
Its calculated total energy is -7.567 eV/atom. As for the energy above the most stable polymorph in this dataset: 0.336 eV per atom.

a b c (Å): 3.5820 3.5819 6.3033
angles (deg): 90.01 90.00 120.00
Last column: nearest neighbours and their distance in Å.
Fractional coordinates of all 4 atoms:
Pm  0.0000  0.5000  0.0000  6 N 2.58
Pr  0.0000  0.5000  0.5000  6 N 2.62
N  0.6667  0.8333  0.7546  3 Pm 2.58, 3 Pr 2.62
N  0.3333  0.1667  0.2454  3 Pm 2.58, 3 Pr 2.62

---

3.
Compound: BaO
Source: the Alexandria database
Functional: PBE-GGA
Structure: optimized geometry

Results
Its calculated total energy is -5.871 eV/atom.

a b c (Å): 7.1830 7.1830 4.4020
angles (deg): 90.00 90.00 90.00
Last column: nearest neighbours and their distance in Å.
Fractional coordinates of all 8 atoms:
Ba  0.3135  0.3135  0.0000  4 O 2.60-2.61
Ba  0.8135  0.1865  0.5000  4 O 2.60-2.61
Ba  0.1865  0.8135  0.5000  4 O 2.60-2.61
Ba  0.6865  0.6865  0.0000  4 O 2.60-2.61
O  0.3231  0.6769  0.0000  4 Ba 2.60-2.61
O  0.8231  0.8231  0.5000  4 Ba 2.60-2.61
O  0.1769  0.1769  0.5000  4 Ba 2.60-2.61
O  0.6769  0.3231  0.0000  4 Ba 2.60-2.61

---

no.,magnetic moment (μB per formula unit)
1,3.61
2,0.00
3,0.00